1.
# Pm4HoSn4

Pm4HoSn4 after structural relaxation (GGA-PBE, the Alexandria database).

ΔE_f	-46.0	kJ/mol of atoms

POSCAR file:
```
Pm4HoSn4
1.0
9.496 0.000 0.000
0.000 9.496 0.000
0.000 0.000 6.411
Pm Ho Sn
8 2 8
Direct
0.038 0.668 0.117
0.168 0.962 0.617
0.332 0.538 0.617
0.462 0.832 0.117
0.538 0.168 0.883
0.668 0.462 0.383
0.832 0.038 0.383
0.962 0.332 0.883
0.250 0.250 0.250
0.750 0.750 0.750
0.023 0.643 0.611
0.143 0.977 0.111
0.357 0.523 0.111
0.477 0.857 0.611
0.523 0.143 0.389
0.643 0.477 0.889
0.857 0.023 0.889
0.977 0.357 0.389
```

=====

2.
# PmHoSn

PmHoSn after structural relaxation (GGA-PBE, the Alexandria database).

excess energy over the best structure of this formula in the dataset	243	meV per atom
ΔE_f	-35.5	kJ/mol of atoms

POSCAR file:
```
PmHoSn
1.0
5.132 0.000 0.000
-2.566 4.444 0.000
0.000 0.000 3.931
Pm Ho Sn
1 1 1
Direct
0.000 0.000 0.000
0.667 0.333 0.446
0.333 0.667 0.654
```

=====

3.
# Pm2HoSn

Pm2HoSn after structural relaxation (GGA-PBE, the Alexandria database).

excess energy over the best structure of this formula in the dataset	437	meV per atom
ΔE_f	0.4	kJ/mol of atoms

POSCAR file:
```
Pm2HoSn
1.0
3.497 0.000 0.000
-1.748 3.028 0.000
0.000 0.000 36.010
Pm Ho Sn
6 3 3
Direct
0.000 0.000 0.093
0.000 0.000 0.907
0.333 0.667 0.573
0.333 0.667 0.760
0.667 0.333 0.240
0.667 0.333 0.427
0.000 0.000 0.000
0.333 0.667 0.667
0.667 0.333 0.333
0.000 0.000 0.500
0.333 0.667 0.167
0.667 0.333 0.833
```

=====

4.
# Pm4HoSn3

Pm4HoSn3 after structural relaxation (GGA-PBE, the Alexandria database).

ΔE_f	-45.5	kJ/mol of atoms

POSCAR file:
```
Pm4HoSn3
1.0
20.452 0.000 0.000
0.000 4.332 0.000
-0.852 0.000 5.555
Pm Ho Sn
8 2 6
Direct
0.118 0.000 0.065
0.155 0.500 0.591
0.345 0.000 0.409
0.382 0.500 0.935
0.618 0.500 0.065
0.655 0.000 0.591
0.845 0.500 0.409
0.882 0.000 0.935
0.000 0.000 0.500
0.500 0.500 0.500
0.000 0.500 0.000
0.239 0.500 0.172
0.261 0.000 0.828
0.500 0.000 0.000
0.739 0.000 0.172
0.761 0.500 0.828
```

=====

5.
# Pm12HoSn7

Pm12HoSn7 after structural relaxation (GGA-PBE, the Alexandria database).

ΔE_f	-40.7	kJ/mol of atoms

POSCAR file:
```
Pm12HoSn7
1.0
7.827 4.519 2.964
-7.827 4.519 2.964
0.000 -9.038 2.964
Pm Ho Sn
12 1 7
Direct
0.000 0.274 0.726
0.000 0.726 0.274
0.163 0.495 0.495
0.274 0.000 0.726
0.274 0.726 0.000
0.495 0.163 0.495
0.495 0.495 0.163
0.505 0.505 0.837
0.505 0.837 0.505
0.726 0.000 0.274
0.726 0.274 0.000
0.837 0.505 0.505
0.000 0.000 0.000
0.136 0.136 0.444
0.136 0.444 0.136
0.444 0.136 0.136
0.500 0.500 0.500
0.556 0.864 0.864
0.864 0.556 0.864
0.864 0.864 0.556
```

=====

6.
# Pm5Ho2Sn5

Pm5Ho2Sn5 after structural relaxation (GGA-PBE, the Alexandria database).

ΔE_f	-52.3	kJ/mol of atoms

POSCAR file:
```
Pm5Ho2Sn5
1.0
7.446 -2.218 0.000
7.446 2.218 0.000
-4.396 0.000 12.001
Pm Ho Sn
5 2 5
Direct
0.000 0.000 0.000
0.160 0.160 0.540
0.226 0.226 0.844
0.774 0.774 0.156
0.840 0.840 0.460
0.449 0.449 0.713
0.551 0.551 0.287
0.194 0.194 0.293
0.385 0.385 0.074
0.500 0.500 0.500
0.615 0.615 0.926
0.806 0.806 0.707
```

=====

7.
# PmHoSn2

PmHoSn2 after structural relaxation (GGA-PBE, the Alexandria database).

ΔE_f	-62.0	kJ/mol of atoms

POSCAR file:
```
PmHoSn2
1.0
3.493 0.000 0.000
0.000 3.493 0.000
0.000 0.000 8.903
Pm Ho Sn
1 1 2
Direct
0.000 0.000 0.000
0.000 0.000 0.500
0.500 0.500 0.257
0.500 0.500 0.743
```

=====

8.
# PmHoSn

PmHoSn after structural relaxation (GGA-PBE, the Alexandria database).

excess energy over the best structure of this formula in the dataset	0	meV per atom
ΔE_f	-59.0	kJ/mol of atoms

POSCAR file:
```
PmHoSn
1.0
4.616 0.000 0.000
0.000 4.616 0.000
0.000 0.000 16.953
Pm Ho Sn
4 4 4
Direct
0.000 0.000 0.176
0.000 0.000 0.824
0.500 0.500 0.324
0.500 0.500 0.676
0.000 0.500 0.000
0.000 0.500 0.500
0.500 0.000 0.000
0.500 0.000 0.500
0.000 0.000 0.366
0.000 0.000 0.634
0.500 0.500 0.134
0.500 0.500 0.866
```

=====

9.
# Pm2HoSn

Pm2HoSn after structural relaxation (GGA-PBE, the Alexandria database).

excess energy over the best structure of this formula in the dataset	48	meV per atom
ΔE_f	-37.1	kJ/mol of atoms

POSCAR file:
```
Pm2HoSn
1.0
5.654 0.000 0.000
0.000 6.685 0.000
0.000 0.000 6.191
Pm Ho Sn
4 2 2
Direct
0.250 0.001 0.143
0.250 0.499 0.143
0.750 0.501 0.857
0.750 0.999 0.857
0.250 0.250 0.625
0.750 0.750 0.375
0.250 0.750 0.655
0.750 0.250 0.345
```

=====

10.
# PmHo2Sn

PmHo2Sn after structural relaxation (GGA-PBE, the Alexandria database).

excess energy over the best structure of this formula in the dataset	4	meV per atom
ΔE_f	-40.0	kJ/mol of atoms

POSCAR file:
```
PmHo2Sn
1.0
4.637 0.000 0.000
0.000 4.703 0.000
-2.308 0.000 11.239
Pm Ho Sn
2 4 2
Direct
0.192 0.250 0.386
0.808 0.750 0.614
0.058 0.750 0.117
0.437 0.750 0.873
0.563 0.250 0.127
0.942 0.250 0.883
0.338 0.250 0.673
0.662 0.750 0.327
```

=====

11.
# PmHo5Sn6

PmHo5Sn6 after structural relaxation (GGA-PBE, the Alexandria database).

ΔE_f	-59.6	kJ/mol of atoms

POSCAR file:
```
PmHo5Sn6
1.0
2.868 -7.040 0.000
2.868 7.040 0.000
-1.809 0.000 8.285
Pm Ho Sn
1 5 6
Direct
0.000 0.000 0.000
0.000 0.000 0.500
0.330 0.670 0.000
0.337 0.663 0.500
0.663 0.337 0.500
0.670 0.330 0.000
0.165 0.827 0.255
0.173 0.835 0.745
0.483 0.483 0.753
0.517 0.517 0.247
0.827 0.165 0.255
0.835 0.173 0.745
```

=====

12.
# Pm2Ho5Sn5

Pm2Ho5Sn5 after structural relaxation (GGA-PBE, the Alexandria database).

ΔE_f	-51.3	kJ/mol of atoms

POSCAR file:
```
Pm2Ho5Sn5
1.0
6.469 -2.431 0.000
6.469 2.431 0.000
-4.107 0.000 11.334
Pm Ho Sn
2 5 5
Direct
0.073 0.073 0.259
0.927 0.927 0.741
0.338 0.338 0.192
0.349 0.349 0.487
0.500 0.500 0.000
0.651 0.651 0.513
0.662 0.662 0.808
0.000 0.000 0.500
0.135 0.135 0.971
0.260 0.260 0.703
0.740 0.740 0.297
0.865 0.865 0.029
```